1.
DFT (PBE+U) results for a relaxed structure of NaMn2BeF.

- total DFT energy (no corrections) (eV for the cell shown) = -22.18
- symmetry = P4/mmm, No. 123

a b c (Å): 4.545 4.545 4.164
angles (deg): 90.00 90.00 90.00
Fractional positions:
Na 0.000 0.000 0.000
Mn 0.000 0.500 0.500
Mn 0.500 0.000 0.500
Be 0.500 0.500 0.000
F 0.000 0.000 0.500

=====

2.
DFT (PBE+U) results for a relaxed structure of Na2MnBeF6.

- total DFT energy (no corrections) (eV for the cell shown) = -52.95
- symmetry = P4mm, No. 99

a b c (Å): 5.310 5.310 4.378
angles (deg): 90.00 90.00 90.00
Fractional positions:
Na 0.000 0.500 0.000
Na 0.500 0.000 0.000
Mn 0.000 0.000 0.581
Be 0.500 0.500 0.552
F 0.000 0.000 0.103
F 0.275 0.275 0.652
F 0.275 0.725 0.652
F 0.500 0.500 0.199
F 0.725 0.275 0.652
F 0.725 0.725 0.652

=====

3.
DFT (PBE+U) results for a relaxed structure of NaMnBe2F8.

- total DFT energy (no corrections) (eV for the cell shown) = -64.62
- symmetry = C2/m, No. 12

a b c (Å): 4.781 4.781 7.047
angles (deg): 90.15 90.15 67.27
Fractional positions:
Na 0.000 0.000 0.000
Mn 0.000 0.000 0.500
Be 0.357 0.357 0.277
Be 0.643 0.643 0.723
F 0.225 0.720 0.303
F 0.237 0.237 0.456
F 0.274 0.274 0.089
F 0.280 0.775 0.697
F 0.720 0.225 0.303
F 0.726 0.726 0.911
F 0.763 0.763 0.544
F 0.775 0.280 0.697